# PBE GdTmCu6, relaxed
# ΔE_f (eV/atom): -0.184
# V (Å³/f.u.): 130.35
data_GdTmCu6
_symmetry_space_group_name_H-M 'P m m 2'
_symmetry_Int_Tables_number 25
_symmetry_space_group_name_Hall 'P 2 -2'
_cell_length_a 4.281
_cell_length_b 5.844
_cell_length_c 5.209
_cell_angle_alpha 90.00
_cell_angle_beta 90.00
_cell_angle_gamma 90.00
loop_
_atom_site_label
_atom_site_type_symbol
_atom_site_fract_x
_atom_site_fract_y
_atom_site_fract_z
Gd1 Gd 0.000 0.000 0.000
Tm1 Tm 0.500 0.500 0.266
Cu1 Cu 0.000 0.227 0.497
Cu2 Cu 0.000 0.500 0.877
Cu3 Cu 0.500 0.000 0.411
Cu4 Cu 0.500 0.286 0.767


# PBE Zr6GeBi2, relaxed
# V (Å³/f.u.): 205.93
# Electronic total energy (eV/atom): -7.6109
data_Zr6GeBi2
_symmetry_space_group_name_H-M 'P -6 2 m'
_symmetry_Int_Tables_number 189
_symmetry_space_group_name_Hall 'P -6 -2'
_cell_length_a 7.7156
_cell_length_b 7.7156
_cell_length_c 3.9945
_cell_angle_alpha 90.00
_cell_angle_beta 90.00
_cell_angle_gamma 120.00
loop_
_atom_site_label
_atom_site_type_symbol
_atom_site_fract_x
_atom_site_fract_y
_atom_site_fract_z
Zr1 Zr 0.0000 0.2406 0.0000
Zr2 Zr 0.0000 0.6096 0.5000
Ge1 Ge 0.0000 0.0000 0.5000
Bi1 Bi 0.3333 0.6667 0.0000


# PBE HfCdCuGe, relaxed
# V (Å³/f.u.): 74.26
# E above lowest polymorph (meV per atom): 145
data_HfCdCuGe
_symmetry_space_group_name_H-M 'F -4 3 m'
_symmetry_Int_Tables_number 216
_symmetry_space_group_name_Hall 'F -4 2 3'
_cell_length_a 6.672
_cell_length_b 6.672
_cell_length_c 6.672
_cell_angle_alpha 90.00
_cell_angle_beta 90.00
_cell_angle_gamma 90.00
loop_
_atom_site_label
_atom_site_type_symbol
_atom_site_fract_x
_atom_site_fract_y
_atom_site_fract_z
Hf1 Hf 0.000 0.000 0.000
Cd1 Cd 0.250 0.250 0.250
Cu1 Cu 0.250 0.250 0.750
Ge1 Ge 0.000 0.000 0.500


# PBE GaReB, relaxed
# V (Å³/f.u.): 43.54
# E above lowest polymorph (meV per atom): 624
data_GaReB
_symmetry_space_group_name_H-M 'F -4 3 m'
_symmetry_Int_Tables_number 216
_symmetry_space_group_name_Hall 'F -4 2 3'
_cell_length_a 5.584
_cell_length_b 5.584
_cell_length_c 5.584
_cell_angle_alpha 90.00
_cell_angle_beta 90.00
_cell_angle_gamma 90.00
loop_
_atom_site_label
_atom_site_type_symbol
_atom_site_fract_x
_atom_site_fract_y
_atom_site_fract_z
Ga1 Ga 0.000 0.000 0.000
Re1 Re 0.250 0.250 0.750
B1 B 0.000 0.000 0.500


# PBE YTmLu6, relaxed
# ΔE_f (eV/atom): 0.000
# V (Å³/f.u.): 238.83
data_YTmLu6
_symmetry_space_group_name_H-M 'P -6 m 2'
_symmetry_Int_Tables_number 187
_symmetry_space_group_name_Hall 'P -6 2'
_cell_length_a 7.0801
_cell_length_b 7.0801
_cell_length_c 5.5014
_cell_angle_alpha 90.00
_cell_angle_beta 90.00
_cell_angle_gamma 120.00
loop_
_atom_site_label
_atom_site_type_symbol
_atom_site_fract_x
_atom_site_fract_y
_atom_site_fract_z
Y1 Y 0.0000 0.0000 0.0000
Tm1 Tm 0.6667 0.3333 0.5000
Lu1 Lu 0.0014 0.5007 0.0000
Lu2 Lu 0.1677 0.3353 0.5000


# PBE KZrCuF7, relaxed
# V (Å³/f.u.): 127.26
# Electronic total energy (eV/atom): -5.5111
data_KZrCuF7
_symmetry_space_group_name_H-M 'C m c m'
_symmetry_Int_Tables_number 63
_symmetry_space_group_name_Hall '-C 2c 2'
_cell_length_a 8.088
_cell_length_b 12.636
_cell_length_c 9.961
_cell_angle_alpha 90.00
_cell_angle_beta 90.00
_cell_angle_gamma 90.00
loop_
_atom_site_label
_atom_site_type_symbol
_atom_site_fract_x
_atom_site_fract_y
_atom_site_fract_z
K1 K 0.235 0.099 0.250
Zr1 Zr 0.000 0.365 0.068
Cu1 Cu 0.000 0.133 0.573
F1 F 0.000 0.000 0.000
F2 F 0.000 0.071 0.750
F3 F 0.000 0.205 0.115
F4 F 0.000 0.279 0.620
F5 F 0.000 0.474 0.615
F6 F 0.148 0.365 0.250
F7 F 0.240 0.373 0.011


# PBE PmPrCu, relaxed
# ΔE_f (eV/atom): 0.122
# V (Å³/f.u.): 87.35
# E above lowest polymorph (meV per atom): 0
data_PmPrCu
_symmetry_space_group_name_H-M 'F -4 3 m'
_symmetry_Int_Tables_number 216
_symmetry_space_group_name_Hall 'F -4 2 3'
_cell_length_a 7.043
_cell_length_b 7.043
_cell_length_c 7.043
_cell_angle_alpha 90.00
_cell_angle_beta 90.00
_cell_angle_gamma 90.00
loop_
_atom_site_label
_atom_site_type_symbol
_atom_site_fract_x
_atom_site_fract_y
_atom_site_fract_z
Pm1 Pm 0.000 0.000 0.000
Pr1 Pr 0.000 0.000 0.500
Cu1 Cu 0.250 0.250 0.250


# PBE GdErInNi2, relaxed
# V (Å³/f.u.): 101.67
# Electronic total energy (eV/atom): -5.1551
data_GdErInNi2
_symmetry_space_group_name_H-M 'A m m 2'
_symmetry_Int_Tables_number 38
_symmetry_space_group_name_Hall 'A 2 -2'
_cell_length_a 3.671
_cell_length_b 3.893
_cell_length_c 14.230
_cell_angle_alpha 90.00
_cell_angle_beta 90.00
_cell_angle_gamma 90.00
loop_
_atom_site_label
_atom_site_type_symbol
_atom_site_fract_x
_atom_site_fract_y
_atom_site_fract_z
Gd1 Gd 0.000 0.000 0.000
Er1 Er 0.000 0.000 0.724
In1 In 0.500 0.000 0.361
Ni1 Ni 0.500 0.000 0.165
Ni2 Ni 0.500 0.000 0.562


# PBE TbHo2In3Co2Cu, relaxed
# V (Å³/f.u.): 182.16
# Electronic total energy (eV/atom): -4.7728
data_TbHo2In3Co2Cu
_symmetry_space_group_name_H-M 'A m m 2'
_symmetry_Int_Tables_number 38
_symmetry_space_group_name_Hall 'A 2 -2'
_cell_length_a 3.879
_cell_length_b 12.757
_cell_length_c 7.363
_cell_angle_alpha 90.00
_cell_angle_beta 90.00
_cell_angle_gamma 90.00
loop_
_atom_site_label
_atom_site_type_symbol
_atom_site_fract_x
_atom_site_fract_y
_atom_site_fract_z
Tb1 Tb 0.000 0.000 0.000
Ho1 Ho 0.000 0.206 0.620
In1 In 0.500 0.000 0.671
In2 In 0.500 0.130 0.285
Co1 Co 0.500 0.167 0.913
Cu1 Cu 0.000 0.000 0.414


# PBE BaZrAsO, relaxed
# V (Å³/f.u.): 87.86
# E above lowest polymorph (meV per atom): 54
data_BaZrAsO
_symmetry_space_group_name_H-M 'P m c 21'
_symmetry_Int_Tables_number 26
_symmetry_space_group_name_Hall 'P 2c -2'
_cell_length_a 4.376
_cell_length_b 4.891
_cell_length_c 8.210
_cell_angle_alpha 90.00
_cell_angle_beta 90.00
_cell_angle_gamma 90.00
loop_
_atom_site_label
_atom_site_type_symbol
_atom_site_fract_x
_atom_site_fract_y
_atom_site_fract_z
Ba1 Ba 0.000 0.242 0.000
Zr1 Zr 0.500 0.259 0.340
As1 As 0.500 0.242 0.675
O1 O 0.000 0.259 0.337


# PBE Mg2HgBi, relaxed
# V (Å³/f.u.): 102.01
# Electronic total energy (eV/atom): -1.8551
data_Mg2HgBi
_symmetry_space_group_name_H-M 'F -4 3 m'
_symmetry_Int_Tables_number 216
_symmetry_space_group_name_Hall 'F -4 2 3'
_cell_length_a 7.417
_cell_length_b 7.417
_cell_length_c 7.417
_cell_angle_alpha 90.00
_cell_angle_beta 90.00
_cell_angle_gamma 90.00
loop_
_atom_site_label
_atom_site_type_symbol
_atom_site_fract_x
_atom_site_fract_y
_atom_site_fract_z
Mg1 Mg 0.000 0.000 0.000
Mg2 Mg 0.250 0.250 0.250
Hg1 Hg 0.250 0.250 0.750
Bi1 Bi 0.000 0.000 0.500


# PBE Sr2Al5Pd4, relaxed
# V (Å³/f.u.): 218.81
# Electronic total energy (eV/atom): -4.6356
data_Sr2Al5Pd4
_symmetry_space_group_name_H-M 'P n m a'
_symmetry_Int_Tables_number 62
_symmetry_space_group_name_Hall '-P 2ac 2n'
_cell_length_a 18.254
_cell_length_b 4.330
_cell_length_c 11.074
_cell_angle_alpha 90.00
_cell_angle_beta 90.00
_cell_angle_gamma 90.00
loop_
_atom_site_label
_atom_site_type_symbol
_atom_site_fract_x
_atom_site_fract_y
_atom_site_fract_z
Sr1 Sr 0.008 0.250 0.240
Sr2 Sr 0.194 0.750 0.166
Al1 Al 0.047 0.250 0.543
Al2 Al 0.101 0.250 0.953
Al3 Al 0.163 0.750 0.609
Al4 Al 0.174 0.750 0.859
Al5 Al 0.177 0.250 0.429
Pd1 Pd 0.048 0.750 0.017
Pd2 Pd 0.091 0.750 0.419
Pd3 Pd 0.136 0.250 0.725
Pd4 Pd 0.244 0.250 0.936